Entry 1:
{
  "formula": "Tm2Cu6Ni3",
  "functional": "GGA-PBE",
  "state": "optimized geometry",
  "formation_enthalpy_0k_kj_per_mol_atoms": -14.9,
  "vol_a3_per_cell": 163.8,
  "lattice_angstrom": [[7.0163, 0.0000, 0.0000], [-3.5082, 6.0763, 0.0000], [0.0000, 0.0000, 3.8414]],
  "species": ["Tm", "Tm", "Cu", "Cu", "Cu", "Cu", "Cu", "Cu", "Ni", "Ni", "Ni"],
  "fractional_positions": [[0.3333, 0.6667, 0.0000], [0.6667, 0.3333, 0.0000], [0.0000, 0.2029, 0.0000], [0.0000, 0.7504, 0.5000], [0.2029, 0.0000, 0.0000], [0.2496, 0.2496, 0.5000], [0.7504, 0.0000, 0.5000], [0.7971, 0.7971, 0.0000], [0.0000, 0.4096, 0.5000], [0.4096, 0.0000, 0.5000], [0.5904, 0.5904, 0.5000]]
}


Entry 2:
{
  "formula": "Pr4GaS3",
  "functional": "GGA-PBE",
  "state": "optimized geometry",
  "vol_a3_per_cell": 204.7,
  "formation_energy_uncorrected_ev_per_atom": -1.6861,
  "lattice_angstrom": [[5.8931, 0.0000, 0.0000], [0.0000, 5.8931, 0.0000], [0.0000, 0.0000, 5.8931]],
  "species": ["Pr", "Pr", "Pr", "Pr", "Ga", "S", "S", "S"],
  "fractional_positions": [[0.0000, 0.0000, 0.0000], [0.0000, 0.5000, 0.5000], [0.5000, 0.0000, 0.5000], [0.5000, 0.5000, 0.0000], [0.5000, 0.5000, 0.5000], [0.0000, 0.0000, 0.5000], [0.0000, 0.5000, 0.0000], [0.5000, 0.0000, 0.0000]]
}


no.,electronic total energy (eV/atom),total magnetization (μB/atom)
1,-4.779,0.000
2,-6.002,0.000